Density functional theory data (PBE-GGA) for a geometry-optimized DyEr3Th2 structure.

extended XYZ file:
```
12
Lattice="-3.169 -1.294 0.390 -1.160 -0.176 -10.005 6.159 -9.550 3.128" Properties=species:S:1:pos:R:3 pbc="T T T"
Dy 0.086 -4.472 1.069
Dy 1.744 -6.548 -7.556
Er -0.630 -4.740 -5.633
Er 2.109 -9.505 0.803
Er -1.565 -1.917 -3.857
Er 2.460 -6.281 -0.853
Er 3.395 -9.103 -2.630
Er -0.279 -1.515 -7.290
Th -0.277 -4.599 -2.296
Th 2.107 -6.421 -4.190
Th 0.496 -1.482 -0.885
Th 1.334 -9.539 -5.602
```

## Properties
ΔH_f (0 K): 0.149 eV per atom
E: -64.47 eV/cell
DOS(E_F): 9.4 states/eV/f.u.
Space-group type: C2/m
Total magnetic moment: 0.00 μB per atom
Calculated volume: 384.4 Å³/cell